Entry 1:
Material: KTa2
Method: DFT, SCAN
State: PBEsol geometry

Cell lengths 2.8891, 2.8891, 9.0093 Å; angles 90.00, 90.00, 120.00 degrees
Last column: nearest neighbours and their distance in Å.
Element x y z (fractional)
K 0.0000 0.0000 0.0000  6 K 2.89
Ta 0.3333 0.6667 0.3591  9 Ta 2.89-3.04
Ta 0.6667 0.3333 0.6409  9 Ta 2.89-3.04

* symmetry: No. 164
* calculated total energy: -46.210 eV per atom
* E_form: 0.955 eV per atom
* DOS at the Fermi energy: 3.26 states/eV/cell

Entry 2:
Material: KLaZn2
Method: DFT, SCAN
State: PBEsol geometry

Cell lengths 3.4328, 3.4328, 9.4809 Å; angles 90.00, 90.00, 90.00 degrees
Last column: nearest neighbours and their distance in Å.
Element x y z (fractional)
K 0.0000 0.0000 0.0000  4 K 3.43, 5 Zn 3.52-3.64
La 0.5000 0.5000 0.3970  5 Zn 3.17-3.20, 4 La 3.43
Zn 0.0000 0.0000 0.6162  4 Zn 2.66
Zn 0.5000 0.5000 0.7315  4 Zn 2.66

* symmetry: No. 99
* calculated total energy: -19.523 eV per atom
* E_form: 0.093 eV per atom
* DOS at the Fermi energy: 2.88 states/eV/cell

Entry 3:
Material: ZrCd2Hg
Method: DFT, SCAN
State: PBEsol geometry

Cell lengths 2.9906, 4.5504, 6.2251 Å; angles 90.00, 104.08, 90.00 degrees
Last column: nearest neighbours and their distance in Å.
Element x y z (fractional)
Zr 0.0000 0.0000 0.0000  2 Zr 2.99, 4 Hg 3.00, 7 Cd 3.06-3.34
Cd 0.2549 0.0000 0.5068  2 Hg 2.85, 6 Cd 2.99-3.03, 1 Zr 3.06
Cd 0.6443 0.5000 0.2857  1 Hg 2.99, 6 Cd 2.99-3.03, 4 Zr 3.22
Hg 0.3938 0.5000 0.7907  3 Cd 2.85-2.99, 2 Hg 2.99, 4 Zr 3.00

* symmetry: No. 6
* calculated total energy: -40.096 eV per atom
* E_form: -0.173 eV per atom
* DOS at the Fermi energy: 1.40 states/eV/cell

Entry 4:
Material: CaTe2H
Method: DFT, SCAN
State: PBEsol geometry

Cell lengths 6.1935, 6.1935, 6.1935 Å; angles 110.49, 110.49, 107.45 degrees
Last column: nearest neighbours and their distance in Å.
Element x y z (fractional)
Ca 0.0000 0.0000 0.0000  8 Te 3.17-3.43
Ca 0.7500 0.2500 0.5000  8 Te 3.17-3.43
Te 0.2253 0.1250 0.6003  2 H 2.25
Te 0.3750 0.7747 0.8997  2 H 2.25
Te 0.5247 0.6250 0.3997  2 H 2.25
Te 0.8750 0.4753 0.1003  2 H 2.25
H 0.2500 0.7500 0.5000  4 Te 2.25
H 0.5000 0.5000 0.0000  4 Te 2.25

* symmetry: No. 122
* calculated total energy: -22.271 eV per atom
* DOS at the Fermi energy: 3.12 states/eV/cell

Entry 5:
Material: SrTiSeBr2
Method: DFT, SCAN
State: PBEsol geometry

Cell lengths 5.5528, 5.5528, 5.8839 Å; angles 90.00, 90.00, 90.00 degrees
Last column: nearest neighbours and their distance in Å.
Element x y z (fractional)
Sr 0.0000 0.0000 0.0000  4 Br 2.78, 2 Se 2.94
Ti 0.5000 0.5000 0.5000  4 Se 3.93, 8 Br 4.05
Se 0.0000 0.0000 0.5000  2 Sr 2.94
Br 0.0000 0.5000 0.0000  2 Sr 2.78
Br 0.5000 0.0000 0.0000  2 Sr 2.78

* symmetry: No. 123
* calculated total energy: -20.101 eV per atom
* DOS at the Fermi energy: 1.46 states/eV/cell
* E_form (uncorrected): -0.6409 eV/atom

Entry 6:
Material: CoSbTe2
Method: DFT, SCAN
State: PBEsol geometry

Cell lengths 5.0052, 5.0052, 5.0052 Å; angles 60.00, 60.00, 60.00 degrees
Last column: nearest neighbours and their distance in Å.
Element x y z (fractional)
Co 0.0000 0.0000 0.0000  4 Sb 3.07, 4 Te 3.07
Sb 0.2500 0.2500 0.2500  4 Co 3.07, 4 Te 3.07
Te 0.5000 0.5000 0.5000  4 Sb 3.07, 4 Te 3.07
Te 0.7500 0.7500 0.7500  4 Co 3.07, 4 Te 3.07

* symmetry: No. 216
* calculated total energy: -31.567 eV per atom
* DOS at the Fermi energy: 3.25 states/eV/cell
* E_form (uncorrected): 0.6998 eV/atom

Entry 7:
Material: Bi2S2N
Method: DFT, SCAN
State: PBEsol geometry

Cell lengths 7.1485, 7.1485, 7.1485 Å; angles 137.09, 137.09, 62.31 degrees
Last column: nearest neighbours and their distance in Å.
Element x y z (fractional)
Bi 0.1653 0.1653 0.0000  1 N 2.02
Bi 0.8347 0.8347 0.0000  1 N 2.02
S 0.2500 0.7500 0.5000  4 Bi 2.81
S 0.7500 0.2500 0.5000  4 Bi 2.81
N 0.0000 0.0000 0.0000  2 Bi 2.02

* symmetry: No. 139
* calculated total energy: -36.629 eV per atom
* DOS at the Fermi energy: 0.64 states/eV/cell
* E_form (uncorrected): 0.5121 eV/atom

Entry 8:
Material: LaOs2Rh
Method: DFT, SCAN
State: PBEsol geometry

Cell lengths 2.8204, 3.6510, 6.8697 Å; angles 90.00, 90.00, 90.00 degrees
Last column: nearest neighbours and their distance in Å.
Element x y z (fractional)
La 0.0000 0.0000 0.0000  2 La 2.82, 4 Rh 3.04
Os 0.0000 0.0000 0.4959  6 Os 2.58-2.82, 4 Rh 2.74
Os 0.5000 0.5000 0.3290  6 Os 2.58-2.82, 1 Rh 2.63
Rh 0.5000 0.5000 0.7118  5 Os 2.63-2.74, 2 Rh 2.82

* symmetry: No. 25
* polymorph energy (0 for the lowest one): 0.0 meV/atom
* calculated total energy: -54.990 eV per atom
* E_form: 0.169 eV per atom
* DOS at the Fermi energy: 3.90 states/eV/cell

Entry 9:
Material: Cu2TcPtF
Method: DFT, SCAN
State: PBEsol geometry

Cell lengths 4.6071, 4.6071, 4.5873 Å; angles 90.00, 90.00, 90.00 degrees
Last column: nearest neighbours and their distance in Å.
Element x y z (fractional)
Cu 0.0000 0.5000 0.0000  2 Tc 2.30
Cu 0.5000 0.0000 0.0000  2 Tc 2.30
Tc 0.0000 0.0000 0.0000  2 Pt 2.29, 4 Cu 2.30
Pt 0.0000 0.0000 0.5000  2 Tc 2.29
F 0.5000 0.5000 0.5000  8 Cu 3.25, 4 Pt 3.26

* symmetry: No. 123
* calculated total energy: -26.534 eV per atom
* DOS at the Fermi energy: 5.51 states/eV/cell
* E_form (uncorrected): 1.3042 eV/atom

Entry 10:
Material: LaYIn2
Method: DFT, SCAN
State: PBEsol geometry

Cell lengths 5.6699, 5.6699, 3.4681 Å; angles 90.00, 90.00, 104.40 degrees
Last column: nearest neighbours and their distance in Å.
Element x y z (fractional)
La 0.0000 0.0000 0.0000  8 In 3.32, 2 La 3.47, 2 Y 3.48
Y 0.5000 0.5000 0.0000  8 In 3.32, 2 Y 3.47, 2 La 3.48
In 0.0000 0.5000 0.5000  4 La 3.32, 4 Y 3.32, 4 In 3.47-3.48
In 0.5000 0.0000 0.5000  4 Y 3.32, 4 La 3.32, 4 In 3.47-3.48

* symmetry: No. 65
* calculated total energy: -35.065 eV per atom
* E_form: -0.635 eV per atom
* DOS at the Fermi energy: 2.70 states/eV/cell

Entry 11:
Material: KLaYH2
Method: DFT, SCAN
State: PBEsol geometry

Cell lengths 4.4943, 4.4943, 6.1266 Å; angles 90.00, 90.00, 90.00 degrees
Last column: nearest neighbours and their distance in Å.
Element x y z (fractional)
K 0.0000 0.0000 0.0000  4 La 3.18
La 0.5000 0.5000 0.0000  2 Y 3.06, 4 K 3.18
Y 0.5000 0.5000 0.5000  4 H 2.25
H 0.0000 0.5000 0.5000  2 Y 2.25
H 0.5000 0.0000 0.5000  2 Y 2.25

* symmetry: No. 123
* calculated total energy: -16.697 eV per atom
* DOS at the Fermi energy: 3.43 states/eV/cell

Entry 12:
Material: LaScNi2
Method: DFT, SCAN
State: PBEsol geometry

Cell lengths 3.2834, 3.2834, 7.0094 Å; angles 90.00, 90.00, 90.00 degrees
Last column: nearest neighbours and their distance in Å.
Element x y z (fractional)
La 0.0000 0.0000 0.0000  5 Ni 2.85-2.89
Sc 0.5000 0.5000 0.5855  5 Ni 2.45-2.62
Ni 0.0000 0.0000 0.4117  4 Sc 2.62, 4 Ni 2.63, 1 La 2.89
Ni 0.5000 0.5000 0.2366  1 Sc 2.45, 4 Ni 2.63

* symmetry: No. 99
* polymorph energy (0 for the lowest one): 290.7 meV/atom
* calculated total energy: -22.475 eV per atom
* E_form: -0.052 eV per atom
* DOS at the Fermi energy: 4.77 states/eV/cell

What is the formula in the fifth record?
SrTiSeBr2